No. 1
A plane-wave DFT calculation with SCAN was carried out for a PBEsol-optimized structure of HoCo4B.

Summary:
The calculation puts the raw total energy at -21.180 eV/atom.

Cell: 4.9027 4.9027 6.7501 Å, 90.00 90.00 120.00°
Closest atoms and distances in Å follow each position.
Fractional positions:
Co1 0.0000 0.5000 0.7140  2 B 2.02
Co2 0.5000 0.0000 0.2860  2 B 2.02
Co3 0.5000 0.0000 0.7140  2 B 2.02
Co4 0.3333 0.6667 0.0000  6 Co 2.39
Co5 0.5000 0.5000 0.2860  2 B 2.02
Co6 0.5000 0.5000 0.7140  2 B 2.02
Co7 0.0000 0.5000 0.2860  2 B 2.02
Co8 0.6667 0.3333 0.0000  6 Co 2.39
B1 0.3333 0.6667 0.5000  6 Co 2.02
B2 0.6667 0.3333 0.5000  6 Co 2.02
Ho1 0.0000 0.0000 0.0000  18 Co 2.83-3.12
Ho2 0.0000 0.0000 0.5000  6 B 2.83, 12 Co 2.85

---

No. 2
A plane-wave DFT calculation with SCAN was carried out for a PBEsol-optimized structure of HoCoB4.

Summary:
The calculation puts the raw total energy at -16.636 eV/atom.

Cell: 3.3144 5.8457 11.3232 Å, 90.00 90.00 90.00°
Closest atoms and distances in Å follow each position.
Fractional positions:
Ho1 0.5000 0.1281 0.6498  14 B 2.54-2.67
Ho2 0.5000 0.6281 0.8502  14 B 2.54-2.67
Ho3 0.5000 0.3719 0.1498  14 B 2.54-2.67
Ho4 0.5000 0.8719 0.3502  14 B 2.54-2.67
B1 0.0000 0.6383 0.0327  3 B 1.71-1.78
B2 0.0000 0.4770 0.6911  3 B 1.72-1.81
B3 0.0000 0.5230 0.3089  3 B 1.72-1.81
B4 0.0000 0.7171 0.1847  3 B 1.78-1.81
B5 0.0000 0.0230 0.1911  3 B 1.72-1.81
B6 0.0000 0.9770 0.8089  3 B 1.72-1.81
B7 0.0000 0.7829 0.6847  3 B 1.78-1.81
B8 0.0000 0.6114 0.4538  3 B 1.67-1.72
B9 0.0000 0.8617 0.5327  3 B 1.71-1.78
B10 0.0000 0.3617 0.9673  3 B 1.71-1.78
B11 0.0000 0.1114 0.0462  3 B 1.67-1.72
B12 0.0000 0.2829 0.8153  3 B 1.78-1.81
B13 0.0000 0.2171 0.3153  3 B 1.78-1.81
B14 0.0000 0.3886 0.5462  3 B 1.67-1.72
B15 0.0000 0.8886 0.9538  3 B 1.67-1.72
B16 0.0000 0.1383 0.4673  3 B 1.71-1.78
Co1 0.5000 0.3658 0.4109  10 B 2.16-2.26
Co2 0.5000 0.1342 0.9109  10 B 2.16-2.26
Co3 0.5000 0.8658 0.0891  10 B 2.16-2.26
Co4 0.5000 0.6342 0.5891  10 B 2.16-2.26

---

No. 3
A plane-wave DFT calculation with SCAN was carried out for a PBEsol-optimized structure of HoCo12B6.

Summary:
The calculation puts the raw total energy at -16.116 eV/atom.

Cell: 5.8733 5.8733 5.8733 Å, 104.04 104.04 104.04°
Closest atoms and distances in Å follow each position.
Fractional positions:
Co1 0.4549 0.1858 0.4549  3 B 2.07-2.09
Co2 0.4549 0.4549 0.1858  3 B 2.07-2.09
Co3 0.8680 0.1320 0.5000  4 B 1.99-2.01
Co4 0.1320 0.8680 0.5000  4 B 1.99-2.01
Co5 0.8142 0.5451 0.5451  3 B 2.07-2.09
Co6 0.5000 0.8680 0.1320  4 B 1.99-2.01
Co7 0.1320 0.5000 0.8680  4 B 1.99-2.01
Co8 0.8680 0.5000 0.1320  4 B 1.99-2.01
Co9 0.5451 0.8142 0.5451  3 B 2.07-2.09
Co10 0.1858 0.4549 0.4549  3 B 2.07-2.09
Co11 0.5451 0.5451 0.8142  3 B 2.07-2.09
Co12 0.5000 0.1320 0.8680  4 B 1.99-2.01
Ho1 0.0000 0.0000 0.0000  6 B 2.98, 18 Co 3.03-3.18
B1 0.2335 0.6800 0.2335  7 Co 1.99-2.09
B2 0.7665 0.7665 0.3200  7 Co 1.99-2.09
B3 0.2335 0.2335 0.6800  7 Co 1.99-2.09
B4 0.3200 0.7665 0.7665  7 Co 1.99-2.09
B5 0.7665 0.3200 0.7665  7 Co 1.99-2.09
B6 0.6800 0.2335 0.2335  7 Co 1.99-2.09

---

No. 4
A plane-wave DFT calculation with SCAN was carried out for a PBEsol-optimized structure of HoCo3B2.

Summary:
The calculation puts the raw total energy at -19.752 eV/atom.

Cell: 2.9788 4.9229 4.9229 Å, 120.00 90.00 90.00°
Closest atoms and distances in Å follow each position.
Fractional positions:
B1 0.0000 0.6667 0.3333  6 Co 2.06
B2 0.0000 0.3333 0.6667  6 Co 2.06
Co1 0.5000 0.0000 0.5000  4 B 2.06
Co2 0.5000 0.5000 0.5000  4 B 2.06
Co3 0.5000 0.5000 0.0000  4 B 2.06
Ho1 0.0000 0.0000 0.0000  6 B 2.84, 12 Co 2.88, 2 Ho 2.98

---

No. 5
A plane-wave DFT calculation with SCAN was carried out for a PBEsol-optimized structure of Ho2Co7B3.

Summary:
The calculation puts the raw total energy at -20.472 eV/atom.

Cell: 4.9989 4.9989 12.8023 Å, 90.00 90.00 120.00°
Closest atoms and distances in Å follow each position.
Fractional positions:
B1 0.6667 0.3333 0.7320  6 Co 2.05-2.07
B2 0.3333 0.6667 0.2680  6 Co 2.05-2.07
B3 0.3333 0.6667 0.7320  6 Co 2.05-2.07
B4 0.6667 0.3333 0.5000  6 Co 2.07
B5 0.6667 0.3333 0.2680  6 Co 2.05-2.07
B6 0.3333 0.6667 0.5000  6 Co 2.07
Co1 0.0000 0.5000 0.1539  2 B 2.05
Co2 0.3333 0.6667 0.0000  6 Co 2.44
Co3 0.5000 0.0000 0.8461  2 B 2.05
Co4 0.6667 0.3333 0.0000  6 Co 2.44
Co5 0.0000 0.5000 0.8461  2 B 2.05
Co6 0.5000 0.0000 0.3837  4 B 2.07
Co7 0.5000 0.5000 0.3837  4 B 2.07
Co8 0.5000 0.0000 0.6163  4 B 2.07
Co9 0.5000 0.5000 0.8461  2 B 2.05
Co10 0.5000 0.0000 0.1539  2 B 2.05
Co11 0.5000 0.5000 0.6163  4 B 2.07
Co12 0.0000 0.5000 0.6163  4 B 2.07
Co13 0.5000 0.5000 0.1539  2 B 2.05
Co14 0.0000 0.5000 0.3837  4 B 2.07
Ho1 0.0000 0.0000 0.7393  12 Co 2.85-2.95, 6 B 2.89, 1 Ho 3.06
Ho2 0.0000 0.0000 0.5000  6 B 2.89, 12 Co 2.91, 2 Ho 3.06
Ho3 0.0000 0.0000 0.0000  18 Co 2.89-3.18
Ho4 0.0000 0.0000 0.2607  12 Co 2.85-2.95, 6 B 2.89, 1 Ho 3.06

---

No. 6
A plane-wave DFT calculation with SCAN was carried out for a PBEsol-optimized structure of HoCo2B2.

Summary:
The calculation puts the raw total energy at -20.244 eV/atom.

Cell: 3.5012 3.5012 5.1953 Å, 109.69 109.69 90.00°
Closest atoms and distances in Å follow each position.
Fractional positions:
B1 0.6463 0.6463 0.2927  4 Co 1.99
B2 0.3537 0.3537 0.7073  4 Co 1.99
Co1 0.7500 0.2500 0.5000  4 B 1.99
Co2 0.2500 0.7500 0.5000  4 B 1.99
Ho1 0.0000 0.0000 0.0000  8 B 2.81, 8 Co 2.88

---

No. 7
A plane-wave DFT calculation with SCAN was carried out for a PBEsol-optimized structure of HoCoB5O10.

Summary:
The formation energy from raw total energies comes out at -261 kJ per mole of atoms. The calculation puts the raw total energy at -12.458 eV/atom.

Cell: 7.5495 8.4855 9.3473 Å, 85.71 90.00 90.00°
Closest atoms and distances in Å follow each position.
Fractional positions:
O1 0.5586 0.2459 0.8656  1 B 1.34
O2 0.2338 0.4520 0.5241  2 B 1.40-1.46
O3 0.0586 0.2541 0.6344  1 B 1.34
O4 0.3906 0.6789 0.4208  2 B 1.47-1.48
O5 0.6264 0.8193 0.5099  2 B 1.36-1.50
O6 0.6475 0.5097 0.0694  1 B 1.38
O7 0.7996 0.4589 0.7251  2 B 1.47
O8 0.8525 0.0097 0.5694  1 B 1.38
O9 0.6094 0.3211 0.5792  2 B 1.47-1.48
O10 0.5318 0.1864 0.1195  2 B 1.37-1.49
O11 0.1482 0.3193 0.1413  2 B 1.46-1.47
O12 0.9025 0.4885 0.2014  2 B 1.37-1.46
O13 0.1475 0.9903 0.4306  1 B 1.38
O14 0.5285 0.5817 0.6515  2 B 1.50
O15 0.0318 0.3136 0.3805  2 B 1.37-1.49
O16 0.0285 0.9183 0.8485  2 B 1.50
O17 0.7004 0.9589 0.2251  2 B 1.47
O18 0.9682 0.6864 0.6195  2 B 1.37-1.49
O19 0.8906 0.8211 0.0792  2 B 1.47-1.48
O20 0.2662 0.9520 0.0241  2 B 1.40-1.46
O21 0.9414 0.7459 0.3656  1 B 1.34
O22 0.3525 0.4903 0.9306  1 B 1.38
O23 0.4682 0.8136 0.8805  2 B 1.37-1.49
O24 0.1094 0.1789 0.9208  2 B 1.47-1.48
O25 0.4025 0.0115 0.2986  2 B 1.37-1.46
O26 0.2004 0.5411 0.2749  2 B 1.47
O27 0.2996 0.0411 0.7749  2 B 1.47
O28 0.9715 0.0817 0.1515  2 B 1.50
O29 0.6482 0.1807 0.3587  2 B 1.46-1.47
O30 0.8736 0.3193 0.0099  2 B 1.36-1.50
O31 0.4414 0.7541 0.1344  1 B 1.34
O32 0.7662 0.5480 0.4759  2 B 1.40-1.46
O33 0.3736 0.1807 0.4901  2 B 1.36-1.50
O34 0.3518 0.8193 0.6413  2 B 1.46-1.47
O35 0.5975 0.9885 0.7014  2 B 1.37-1.46
O36 0.0975 0.5115 0.7986  2 B 1.37-1.46
O37 0.7338 0.0480 0.9759  2 B 1.40-1.46
O38 0.1264 0.6807 0.9901  2 B 1.36-1.50
O39 0.8518 0.6807 0.8587  2 B 1.46-1.47
O40 0.4715 0.4183 0.3485  2 B 1.50
B1 0.1039 0.3368 0.5117  3 O 1.34-1.40
B2 0.8243 0.9794 0.1032  4 O 1.46-1.50
B3 0.6757 0.4794 0.6032  4 O 1.46-1.50
B4 0.0320 0.2232 0.0574  4 O 1.46-1.50
B5 0.8089 0.4349 0.0887  3 O 1.36-1.38
B6 0.6039 0.1632 0.9883  3 O 1.34-1.40
B7 0.4290 0.9174 0.7487  4 O 1.46-1.49
B8 0.4680 0.7232 0.5574  4 O 1.46-1.50
B9 0.9680 0.7768 0.9426  4 O 1.46-1.50
B10 0.8961 0.6632 0.4883  3 O 1.34-1.40
B11 0.5320 0.2768 0.4426  4 O 1.46-1.50
B12 0.1911 0.5651 0.9113  3 O 1.36-1.38
B13 0.6911 0.9349 0.5887  3 O 1.36-1.38
B14 0.3961 0.8368 0.0117  3 O 1.34-1.40
B15 0.9290 0.5826 0.7513  4 O 1.46-1.49
B16 0.3089 0.0651 0.4113  3 O 1.36-1.38
B17 0.5710 0.0826 0.2513  4 O 1.46-1.49
B18 0.0710 0.4174 0.2487  4 O 1.46-1.49
B19 0.3243 0.5206 0.3968  4 O 1.46-1.50
B20 0.1757 0.0206 0.8968  4 O 1.46-1.50
Ho1 0.6811 0.6806 0.2581  6 O 2.21-2.42
Ho2 0.3189 0.3194 0.7419  6 O 2.21-2.42
Ho3 0.8189 0.1806 0.7581  6 O 2.21-2.42
Ho4 0.1811 0.8194 0.2419  6 O 2.21-2.42
Co1 0.9019 0.1015 0.3692  5 O 2.01-2.14
Co2 0.4019 0.3985 0.1308  5 O 2.01-2.14
Co3 0.5981 0.6015 0.8692  5 O 2.01-2.14
Co4 0.0981 0.8985 0.6308  5 O 2.01-2.14

---

No. 8
A plane-wave DFT calculation with SCAN was carried out for a PBEsol-optimized structure of CoBIN2.

Summary:
The formation energy from raw total energies comes out at 140 kJ per mole of atoms. The calculation puts the raw total energy at -14.559 eV/atom.

Cell: 3.2933 3.2933 6.6224 Å, 90.00 90.00 90.00°
Closest atoms and distances in Å follow each position.
Fractional positions:
I1 0.0000 0.0000 0.5000  4 Co 2.33
N1 0.5000 0.0000 0.0000  2 B 1.65
N2 0.0000 0.5000 0.0000  2 B 1.65
B1 0.0000 0.0000 0.0000  4 N 1.65
Co1 0.5000 0.5000 0.5000  4 I 2.33

---

No. 9
A plane-wave DFT calculation with SCAN was carried out for a PBEsol-optimized structure of Sr2CoBI.

Summary:
The formation energy from raw total energies comes out at 93 kJ per mole of atoms. The calculation puts the raw total energy at -20.242 eV/atom.

Cell: 4.4998 6.0470 6.0470 Å, 90.00 90.00 90.00°
Closest atoms and distances in Å follow each position.
Fractional positions:
Co1 0.5000 0.5000 0.5000  8 Sr 3.77
Sr1 0.0000 0.5000 0.0000  2 I 3.02
Sr2 0.0000 0.0000 0.5000  2 I 3.02
I1 0.0000 0.0000 0.0000  2 B 2.25
B1 0.5000 0.0000 0.0000  2 I 2.25

---

No. 10
A plane-wave DFT calculation with SCAN was carried out for a PBEsol-optimized structure of In3Co20B6.

Summary:
The calculation puts the raw total energy at -16.947 eV/atom.

Cell: 7.4320 7.4320 7.4320 Å, 60.00 60.00 60.00°
Closest atoms and distances in Å follow each position.
Fractional positions:
In1 0.2500 0.2500 0.2500  4 Co 2.48
In2 0.7500 0.7500 0.7500  4 Co 2.48
In3 0.0000 0.0000 0.0000  12 Co 2.56
Co1 0.0000 0.3446 0.0000  2 B 2.11, 1 Co 2.31
Co2 0.6554 0.3446 0.0000  2 B 2.11, 1 Co 2.31
Co3 0.6554 0.0000 0.0000  2 B 2.11, 1 Co 2.31
Co4 0.6554 0.0000 0.3446  2 B 2.11, 1 Co 2.31
Co5 0.0000 0.6554 0.0000  2 B 2.11, 1 Co 2.31
Co6 0.6135 0.1594 0.6135  3 B 2.05
Co7 0.0000 0.0000 0.6554  2 B 2.11, 1 Co 2.31
Co8 0.0000 0.3446 0.6554  2 B 2.11, 1 Co 2.31
Co9 0.3865 0.8406 0.3865  3 B 2.05
Co10 0.3865 0.3865 0.3865  3 B 2.05
Co11 0.0000 0.6554 0.3446  2 B 2.11, 1 Co 2.31
Co12 0.3446 0.6554 0.0000  2 B 2.11, 1 Co 2.31
Co13 0.1594 0.6135 0.6135  3 B 2.05
Co14 0.3865 0.3865 0.8406  3 B 2.05
Co15 0.3446 0.0000 0.6554  2 B 2.11, 1 Co 2.31
Co16 0.6135 0.6135 0.6135  3 B 2.05
Co17 0.3446 0.0000 0.0000  2 B 2.11, 1 Co 2.31
Co18 0.6135 0.6135 0.1594  3 B 2.05
Co19 0.0000 0.0000 0.3446  2 B 2.11, 1 Co 2.31
Co20 0.8406 0.3865 0.3865  3 B 2.05
B1 0.2759 0.2759 0.7241  8 Co 2.05-2.11
B2 0.7241 0.2759 0.7241  8 Co 2.05-2.11
B3 0.2759 0.7241 0.7241  8 Co 2.05-2.11
B4 0.7241 0.2759 0.2759  8 Co 2.05-2.11
B5 0.7241 0.7241 0.2759  8 Co 2.05-2.11
B6 0.2759 0.7241 0.2759  8 Co 2.05-2.11

---

No. 11
A plane-wave DFT calculation with SCAN was carried out for a PBEsol-optimized structure of LaIn2CoB.

Summary:
The calculation puts the raw total energy at -24.940 eV/atom.

Cell: 4.3820 6.0393 6.0393 Å, 90.00 90.00 90.00°
Closest atoms and distances in Å follow each position.
Fractional positions:
B1 0.5000 0.5000 0.5000  8 In 3.73
La1 0.0000 0.0000 0.0000  2 Co 2.19
In1 0.0000 0.0000 0.5000  2 La 3.02
In2 0.0000 0.5000 0.0000  2 La 3.02
Co1 0.5000 0.0000 0.0000  2 La 2.19

---

No. 12
A plane-wave DFT calculation with SCAN was carried out for a PBEsol-optimized structure of Mg2CoB2Ir5.

Summary:
The calculation puts the raw total energy at -40.265 eV/atom.

Cell: 2.8794 9.3495 9.3495 Å, 90.00 90.00 90.00°
Closest atoms and distances in Å follow each position.
Fractional positions:
Ir1 0.5000 0.7131 0.5701  2 B 2.14
Ir2 0.5000 0.5000 0.0000  4 B 2.21
Ir3 0.5000 0.4299 0.7131  2 B 2.14
Ir4 0.5000 0.7869 0.0701  2 B 2.14
Ir5 0.5000 0.5701 0.2869  2 B 2.14
Ir6 0.5000 0.2869 0.4299  2 B 2.14
Ir7 0.5000 0.9299 0.7869  2 B 2.14
Ir8 0.5000 0.2131 0.9299  2 B 2.14
Ir9 0.5000 0.0701 0.2131  2 B 2.14
Ir10 0.5000 0.0000 0.5000  4 B 2.21
B1 0.0000 0.6267 0.1267  6 Ir 2.14-2.21
B2 0.0000 0.8733 0.6267  6 Ir 2.14-2.21
B3 0.0000 0.1267 0.3733  6 Ir 2.14-2.21
B4 0.0000 0.3733 0.8733  6 Ir 2.14-2.21
Mg1 0.0000 0.1768 0.6768  3 B 2.60-2.88, 10 Ir 2.75-2.91, 2 Mg 2.88
Mg2 0.0000 0.3232 0.1768  3 B 2.60-2.88, 10 Ir 2.75-2.91, 2 Mg 2.88
Mg3 0.0000 0.6768 0.8232  3 B 2.60-2.88, 10 Ir 2.75-2.91, 2 Mg 2.88
Mg4 0.0000 0.8232 0.3232  3 B 2.60-2.88, 10 Ir 2.75-2.91, 2 Mg 2.88
Co1 0.0000 0.0000 0.0000  8 Ir 2.54
Co2 0.0000 0.5000 0.5000  8 Ir 2.54

---

No. 13
A plane-wave DFT calculation with SCAN was carried out for a PBEsol-optimized structure of NbCo2BIr.

Summary:
The calculation puts the raw total energy at -27.246 eV/atom.

Cell: 4.1041 4.2509 4.2509 Å, 90.00 90.00 90.00°
Closest atoms and distances in Å follow each position.
Fractional positions:
Ir1 0.5000 0.5000 0.5000  8 Co 2.95, 4 B 3.01
Co1 0.0000 0.5000 0.0000  2 Nb 2.13
Co2 0.0000 0.0000 0.5000  2 Nb 2.13
B1 0.5000 0.0000 0.0000  2 Nb 2.05
Nb1 0.0000 0.0000 0.0000  2 B 2.05, 4 Co 2.13

---

No. 14
A plane-wave DFT calculation with SCAN was carried out for a PBEsol-optimized structure of ZrCoB2Ir.

Summary:
The calculation puts the raw total energy at -26.390 eV/atom.

Cell: 3.9372 3.9372 4.6199 Å, 90.00 90.00 90.00°
Closest atoms and distances in Å follow each position.
Fractional positions:
Ir1 0.0000 0.0000 0.0000  4 B 1.97
Co1 0.0000 0.0000 0.5000  2 Ir 2.31
B1 0.0000 0.5000 0.0000  2 Ir 1.97
B2 0.5000 0.0000 0.0000  2 Ir 1.97
Zr1 0.5000 0.5000 0.5000  4 Co 2.78, 8 B 3.04

---

No. 15
A plane-wave DFT calculation with SCAN was carried out for a PBEsol-optimized structure of K3CoB.

Summary:
The calculation puts the raw total energy at -8.534 eV/atom.

Cell: 5.9101 5.9101 5.9101 Å, 90.00 90.00 90.00°
Closest atoms and distances in Å follow each position.
Fractional positions:
B1 0.5000 0.5000 0.5000  12 K 4.18
Co1 0.0000 0.0000 0.0000  6 K 2.96
K1 0.0000 0.5000 0.0000  2 Co 2.96
K2 0.5000 0.0000 0.0000  2 Co 2.96
K3 0.0000 0.0000 0.5000  2 Co 2.96

---

No. 16
A plane-wave DFT calculation with SCAN was carried out for a PBEsol-optimized structure of KTiCoB2.

Summary:
The calculation puts the raw total energy at -9.938 eV/atom.

Cell: 4.3489 4.4424 4.4424 Å, 90.00 90.00 90.00°
Closest atoms and distances in Å follow each position.
Fractional positions:
B1 0.0000 0.5000 0.0000  2 Ti 2.22
B2 0.0000 0.0000 0.5000  2 Ti 2.22
Co1 0.5000 0.0000 0.0000  2 Ti 2.17
K1 0.5000 0.5000 0.5000  8 B 3.11, 4 Co 3.14
Ti1 0.0000 0.0000 0.0000  2 Co 2.17, 4 B 2.22